This record from Alexandria describes a relaxed structure of ReHIrW2. The functional is GGA-PBE.

It has space group P4/mmm (No. 123), with a = 4.012 Å, b = 4.012 Å, c = 3.946 Å, α = 90.00°, β = 90.00° and γ = 90.00°. Symmetry generates all atoms from Re at (0.000, 0.000, 0.000), H at (0.000, 0.000, 0.500), Ir at (0.500, 0.500, 0.000) and W at (0.000, 0.500, 0.500).

The value obtained for the energy above the most stable polymorph in this dataset is 0.00 eV/f.u. The density of states at the Fermi level is 2.644 states/eV/f.u. The total magnetization comes out at 0.0 μB per formula unit.